Material: SmCuSn
Method: DFT, PBE
State: optimized geometry Values from VASP.

Values from the calculation:
**Energy relative to the elements**: -0.585 eV per atom

Cell and atoms, written as Quantum ESPRESSO input:
```
&SYSTEM
  ibrav = 0, nat = 6, ntyp = 3
/
ATOMIC_SPECIES
Sm 150.36 Sm.upf
Sn 118.71 Sn.upf
Cu 63.55 Cu.upf
ATOMIC_POSITIONS crystal
Sm 0.250 0.750 0.207
Sm 0.750 0.250 0.793
Sn 0.750 0.250 0.271
Sn 0.250 0.750 0.729
Cu 0.750 0.750 0.500
Cu 0.250 0.250 0.500
CELL_PARAMETERS angstrom
4.457 0.000 0.704
0.000 4.512 0.000
-1.074 0.000 6.786
```

=====

Material: Li2SmEu
Method: DFT, PBE
State: optimized geometry Values from VASP.

Values from the calculation:
**Energy relative to the elements**: 0.150 eV per atom
**Offset from the most stable computed form**: 23 meV per atom

Cell and atoms, written as Quantum ESPRESSO input:
```
&SYSTEM
  ibrav = 0, nat = 4, ntyp = 3
/
ATOMIC_SPECIES
Sm 150.36 Sm.upf
Li 6.94 Li.upf
Eu 151.96 Eu.upf
ATOMIC_POSITIONS crystal
Sm 0.500 0.500 0.500
Li 0.750 0.750 0.750
Li 0.250 0.250 0.250
Eu 0.000 0.000 0.000
CELL_PARAMETERS angstrom
-5.016 0.611 -2.164
-3.116 -4.415 -1.005
-4.455 -0.976 3.069
```

=====

Material: CsPa2Pd2S6
Method: DFT, PBE
State: optimized geometry Values from VASP.

Values from the calculation:
**Raw formation energy**: -1.131 eV/atom

Cell and atoms, written as Quantum ESPRESSO input:
```
&SYSTEM
  ibrav = 0, nat = 11, ntyp = 4
/
ATOMIC_SPECIES
Pd 106.42 Pd.upf
S 32.06 S.upf
Pa 231.04 Pa.upf
Cs 132.91 Cs.upf
ATOMIC_POSITIONS crystal
Pd 0.783 0.225 0.176
Pd 0.217 0.775 0.824
S 0.156 0.800 0.551
S 0.019 0.598 0.865
S 0.575 0.215 0.957
S 0.844 0.200 0.449
S 0.981 0.402 0.135
S 0.425 0.785 0.043
Pa 0.834 0.328 0.828
Pa 0.166 0.672 0.172
Cs 0.500 0.000 0.500
CELL_PARAMETERS angstrom
-2.330 -4.017 -5.534
4.415 -0.868 -5.430
-1.874 -6.201 4.813
```

=====

Material: Nd3NO3
Method: DFT, PBE
State: optimized geometry Values from VASP.

Values from the calculation:
**Raw formation energy**: -2.531 eV/atom

Cell and atoms, written as Quantum ESPRESSO input:
```
&SYSTEM
  ibrav = 0, nat = 14, ntyp = 3
/
ATOMIC_SPECIES
O 16.00 O.upf
Nd 144.24 Nd.upf
N 14.01 N.upf
ATOMIC_POSITIONS crystal
O 0.790 0.210 0.500
O 0.757 0.757 0.494
O 0.243 0.243 0.506
O 0.790 0.210 0.000
O 0.210 0.790 0.500
O 0.210 0.790 0.000
Nd 0.002 0.002 0.748
Nd 0.998 0.998 0.252
Nd 0.000 0.500 0.242
Nd 0.500 0.000 0.758
Nd 0.500 0.000 0.242
Nd 0.000 0.500 0.758
N 0.240 0.240 0.011
N 0.760 0.760 0.989
CELL_PARAMETERS angstrom
6.601 0.811 2.547
1.990 6.346 2.547
1.177 0.981 7.158
```

=====

Material: Sr5Cd2Pt2
Method: DFT, PBE
State: optimized geometry Values from VASP.

Values from the calculation:
**Energy relative to the elements**: -0.534 eV per atom

Cell and atoms, written as Quantum ESPRESSO input:
```
&SYSTEM
  ibrav = 0, nat = 18, ntyp = 3
/
ATOMIC_SPECIES
Sr 87.62 Sr.upf
Pt 195.08 Pt.upf
Cd 112.41 Cd.upf
ATOMIC_POSITIONS crystal
Sr 0.791 0.830 0.759
Sr 0.451 0.170 0.759
Sr 0.000 0.000 0.000
Sr 0.291 0.670 0.759
Sr 0.549 0.830 0.241
Sr 0.209 0.170 0.241
Sr 0.709 0.330 0.241
Sr 0.951 0.330 0.759
Sr 0.500 0.500 0.000
Sr 0.049 0.670 0.241
Pt 0.123 0.376 0.000
Pt 0.377 0.876 0.000
Pt 0.877 0.624 0.000
Pt 0.623 0.124 0.000
Cd 0.285 0.500 0.430
Cd 0.715 0.500 0.570
Cd 0.215 0.000 0.570
Cd 0.785 0.000 0.430
CELL_PARAMETERS angstrom
0.550 1.629 8.056
3.164 -7.547 1.310
8.274 3.963 2.845
```

=====

Material: PuIn7
Method: DFT, PBE
State: optimized geometry Values from VASP.

Values from the calculation:
**Energy relative to the elements**: -0.104 eV per atom

Cell and atoms, written as Quantum ESPRESSO input:
```
&SYSTEM
  ibrav = 0, nat = 8, ntyp = 2
/
ATOMIC_SPECIES
In 114.82 In.upf
Pu 244.00 Pu.upf
ATOMIC_POSITIONS crystal
In 0.500 0.000 0.500
In 0.500 0.500 0.000
In 0.500 0.500 0.500
In 0.000 0.000 0.500
In 0.500 0.000 0.000
In 0.000 0.500 0.500
In 0.000 0.500 0.000
Pu 0.000 0.000 0.000
CELL_PARAMETERS angstrom
6.656 0.000 0.000
3.328 5.764 0.000
3.328 1.921 5.435
```